## NdTm2PaSe4 (PBE)

Data for NdTm2PaSe4 after structural relaxation.

The structure in POSCAR format:
```
NdTm2PaSe4
1.0
6.987 0.000 0.000
0.000 3.999 0.000
-2.286 0.000 6.890
Nd Tm Pa Se
1 2 1 4
direct
0.000 0.000 0.000
0.000 0.500 0.500
0.500 0.000 0.500
0.500 0.500 0.000
0.249 0.000 0.737
0.260 0.500 0.266
0.740 0.500 0.734
0.751 0.000 0.263
```

## Properties
Uncorrected formation energy   -1.58 eV per atom
SG   P2/m (10)
Uncorrected energy   -6.22 eV per atom
Crystal system   monoclinic

---

## CsSnAs (PBE)

Data for CsSnAs after structural relaxation.

The structure in POSCAR format:
```
CsSnAs
1.0
3.814 0.000 0.000
0.000 3.814 0.000
0.000 0.000 13.704
Cs Sn As
2 2 2
direct
0.000 0.000 0.000
0.500 0.500 0.500
0.000 0.000 0.283
0.500 0.500 0.783
0.000 0.000 0.698
0.500 0.500 0.198
```

## Properties
SG   I4mm (107)
Uncorrected energy   -3.39 eV per atom
Formation energy from the elements   -222 meV per atom
Crystal system   tetragonal

---

Number 1: DOS at the Fermi energy 0.89 states/eV/atom. Number 2: DOS at the Fermi energy 0.43 states/eV/atom.